No. 1
First-principles (PBE) data for AlAsW2 after structural relaxation, as listed in Alexandria.

Calculated values
Space-group type: Imm2 (44)
M_tot in μB per atom: 0.0000
Energy above the lowest structure with this stoichiometry in meV per atom: 276
N(E_F) in states/eV/atom: 0.461

abc: 5.034 5.034 5.034
angles: 140.70 128.20 66.90
Atoms (fractional coordinates):
Al  0.498  0.498  0.000
W  0.247  0.747  0.500
W  0.998  0.998  0.000
As  0.757  0.257  0.500

---

No. 2
First-principles (PBE) data for Al2AsW after structural relaxation, as listed in Alexandria.

Calculated values
Space-group type: Cmm2 (35)
M_tot in μB per atom: 0.0000
N(E_F) in states/eV/atom: 0.561

abc: 2.834 2.834 9.713
angles: 90.00 90.00 108.92
Atoms (fractional coordinates):
Al  0.000  0.000  0.977
Al  0.500  0.500  0.212
W  0.500  0.500  0.757
As  0.000  0.000  0.554

---

No. 3
First-principles (PBE) data for Al2AsW after structural relaxation, as listed in Alexandria.

Calculated values
Space-group type: P4/mmm (123)
M_tot in μB per atom: 0.0000
N(E_F) in states/eV/atom: 0.636

abc: 4.489 4.489 3.163
angles: 90.00 90.00 90.00
Atoms (fractional coordinates):
Al  0.000  0.000  0.000
Al  0.500  0.500  0.000
W  0.000  0.500  0.500
As  0.500  0.000  0.500

---

no.,energy of formation (eV per atom)
1,0.239
2,0.235
3,0.195